# 1
A relaxed structure of ThZr2N, computed with PBE.

Cell lengths 3.0725, 3.0725, 8.1440 Å; angles 90.00, 90.00, 90.00 degrees
Last column: nearest neighbours and their distance in Å.
Space group P4/mmm (No. 123)
Asymmetric unit:
Th 0.0000 0.0000 0.0000 [1 per cell]  4 Th 3.07
Zr 0.5000 0.5000 0.3323 [2 per cell]  4 N 2.57, 1 Zr 2.73
N 0.0000 0.0000 0.5000 [1 per cell]  8 Zr 2.57

## Properties
excess energy over the best structure of this formula in the dataset: 0.543 eV per atom
energy relative to the elements, uncorrected: -72 meV/atom
DOS at the Fermi energy: 3.43 states/eV/f.u.

***

# 2
A relaxed structure of Pm2NdGa3, computed with PBE.

Cell lengths 5.1955, 5.1955, 12.7786 Å; angles 90.00, 90.00, 120.00 degrees
Last column: nearest neighbours and their distance in Å.
Space group P-3m1 (No. 164)
Asymmetric unit:
Pm 0.0000 0.0000 0.0000 [1 per cell]  8 Ga 3.18
Pm 0.0000 0.0000 0.5000 [1 per cell]  8 Ga 3.18-3.21
Pm 0.3333 0.6667 0.1660 [2 per cell]  8 Ga 3.18-3.20
Nd 0.3333 0.6667 0.6667 [2 per cell]  8 Ga 3.18-3.20
Ga 0.0000 0.0000 0.2492 [2 per cell]  5 Pm 3.18-3.21, 3 Nd 3.19
Ga 0.3333 0.6667 0.4163 [2 per cell]  4 Nd 3.18-3.20, 4 Pm 3.18-3.20
Ga 0.3333 0.6667 0.9172 [2 per cell]  7 Pm 3.18, 1 Nd 3.20

## Properties
formation energy: -0.5631 eV/atom
DOS at the Fermi energy: 2.82 states/eV/f.u.

***

# 3
A relaxed structure of Ta2Nb2H7, computed with PBE.

Cell lengths 6.2858, 6.6794, 4.4275 Å; angles 90.00, 90.00, 90.00 degrees
Last column: nearest neighbours and their distance in Å.
Space group Cmmm (No. 65)
Asymmetric unit:
Ta 0.0000 0.2376 0.0000 [4 per cell]  7 H 1.75-1.95
Nb 0.2358 0.5000 0.5000 [4 per cell]  6 H 1.98-1.99
H 0.0000 0.0000 0.2506 [4 per cell]  2 Ta 1.94, 2 Nb 1.99
H 0.0000 0.5000 0.0000 [2 per cell]  2 Ta 1.75
H 0.2500 0.2500 0.2595 [8 per cell]  2 Ta 1.95, 2 Nb 1.98, 1 H 2.13

## Properties
DOS at the Fermi energy: 3.44 states/eV/f.u.
total energy: -6.232 eV/atom

***

# 4
A relaxed structure of Mg7In3Pb2, computed with PBE.

Cell lengths 5.5216, 22.1172, 5.2184 Å; angles 90.00, 90.00, 90.00 degrees
Last column: nearest neighbours and their distance in Å.
Space group Cmmm (No. 65)
Asymmetric unit:
Mg 0.0000 0.0000 0.0000 [2 per cell]  8 Mg 3.08-3.20, 2 Pb 3.26
Mg 0.0000 0.0740 0.5000 [4 per cell]  2 Pb 3.07, 3 Mg 3.08-3.27, 4 In 3.21-3.24
Mg 0.0000 0.2835 0.0000 [4 per cell]  2 In 2.99, 3 Pb 3.01-3.15, 3 Mg 3.13-3.18
Mg 0.0000 0.4271 0.0000 [4 per cell]  4 In 3.07-3.13, 4 Mg 3.18-3.22, 2 Pb 3.22
In 0.0000 0.3493 0.5000 [4 per cell]  6 Mg 2.99-3.24, 1 In 3.33
In 0.0000 0.5000 0.5000 [2 per cell]  8 Mg 3.07-3.21, 2 In 3.33
Pb 0.0000 0.1475 0.0000 [4 per cell]  8 Mg 3.01-3.26

## Properties
formation energy: 0.0190 eV/atom
DOS at the Fermi energy: 4.80 states/eV/f.u.

***

# 5
A relaxed structure of La2Nd2Dy2Y, computed with PBE.

Cell lengths 11.5531, 5.1764, 8.1190 Å; angles 90.00, 98.35, 90.00 degrees
Last column: nearest neighbours and their distance in Å.
Space group C2/m (No. 12)
Asymmetric unit:
La 0.1435 0.0000 0.4282 [4 per cell]  1 Y 3.63, 3 La 3.64-3.67, 3 Dy 3.66-3.67, 5 Nd 3.66-3.68
Nd 0.0715 0.5000 0.7193 [4 per cell]  4 Dy 3.56-3.67, 2 Y 3.62, 5 La 3.66-3.68, 1 Nd 3.70
Dy 0.2153 0.5000 0.1382 [4 per cell]  4 Nd 3.56-3.67, 2 Dy 3.59, 3 Y 3.63-3.65, 3 La 3.66-3.67
Y 0.0000 0.0000 0.0000 [2 per cell]  4 Nd 3.62, 6 Dy 3.63-3.65, 2 La 3.63

## Properties
formation energy: 0.0242 eV/atom
DOS at the Fermi energy: 11.59 states/eV/f.u.

***

# 6
A relaxed structure of AcPm4Ru, computed with PBE.

Cell lengths 6.1916, 7.6810, 16.9433 Å; angles 90.00, 90.00, 90.00 degrees
Last column: nearest neighbours and their distance in Å.
Space group Immm (No. 71)
Asymmetric unit:
Ac 0.0000 0.0000 0.2011 [4 per cell]  12 Pm 3.73-4.00
Pm 0.0000 0.2096 0.0000 [4 per cell]  2 Ru 2.74
Pm 0.0000 0.2416 0.3921 [8 per cell]  2 Ru 3.00
Pm 0.0000 0.5000 0.1642 [4 per cell]  2 Ru 3.21, 2 Pm 3.57
Ru 0.2418 0.0000 0.5000 [4 per cell]  6 Pm 2.74-3.00, 1 Ru 2.99

## Properties
formation energy: -0.0528 eV/atom
DOS at the Fermi energy: 8.94 states/eV/f.u.